Computed, not measured: ZnAg2Pb at its PBEsol-relaxed geometry at the meta-GGA SCAN level of DFT.

a b c (Å): 3.202 3.202 7.419
angles (deg): 90.00 90.00 90.00
Sites, in units of the cell vectors:
Pb1 0.500 0.500 0.000
Zn1 0.500 0.500 0.500
Ag1 0.000 0.000 0.698
Ag2 0.000 0.000 0.302

formation enthalpy at 0 K: 0.089 eV/atom
offset from the most stable computed form: 0 kJ/mol of formula units
D(E_F): 1.267 states/eV/cell
VASP energy: -151.68 eV for the cell shown